This record from Alexandria via LeMat-Bulk describes a relaxed SrLiAlPt2 crystal. The functional is GGA-PBE.

Summary:
ΔE_f: -0.852 eV per atom
D(E_F): 1.40 states/eV per cell

Cell: 4.1951 4.1951 6.3649 Å, 109.24 109.24 90.00°
Fractional coordinates of all 5 atoms:
Pt 0.3789 0.3789 0.7578
Pt 0.6211 0.6211 0.2422
Al 0.2500 0.7500 0.5000
Li 0.7500 0.2500 0.5000
Sr 0.0000 0.0000 0.0000